(1)
# MoP2Br | Alexandria | PBE-GGA | relaxed
data_MoP2Br
_symmetry_space_group_name_H-M 'R -3 m'
_symmetry_Int_Tables_number 166
_symmetry_space_group_name_Hall '-R 3 2"'
_cell_length_a 3.2716
_cell_length_b 3.2716
_cell_length_c 23.2096
_cell_angle_alpha 90.00
_cell_angle_beta 90.00
_cell_angle_gamma 120.00
loop_
_atom_site_label
_atom_site_type_symbol
_atom_site_fract_x
_atom_site_fract_y
_atom_site_fract_z
Mo1 Mo 0.0000 0.0000 0.0000
P1 P 0.0000 0.0000 0.2657
Br1 Br 0.0000 0.0000 0.5000
# raw total energy	-0.42607	Ry/atom
# calculated volume	17.93	Å³/atom
# energy relative to the lowest polymorph listed for this composition	57.4	kJ/mol of formula units
# mass density	5.5	g cm⁻³
# spin magnetization	0.000	μB per formula unit
# DOS at the Fermi energy	1.6	states/eV/f.u.
# ΔE_f (raw)	34	meV per atom

---

(2)
# HoTm3Co8 | Alexandria | PBE-GGA | relaxed
data_HoTm3Co8
_symmetry_space_group_name_H-M 'R 3 m'
_symmetry_Int_Tables_number 160
_symmetry_space_group_name_Hall 'R 3 -2"'
_cell_length_a 5.0285
_cell_length_b 5.0285
_cell_length_c 24.6562
_cell_angle_alpha 90.00
_cell_angle_beta 90.00
_cell_angle_gamma 120.00
loop_
_atom_site_label
_atom_site_type_symbol
_atom_site_fract_x
_atom_site_fract_y
_atom_site_fract_z
Ho1 Ho 0.0000 0.0000 0.0000
Tm1 Tm 0.0000 0.0000 0.1251
Tm2 Tm 0.0000 0.0000 0.5000
Tm3 Tm 0.0000 0.0000 0.6249
Co1 Co 0.0000 0.0000 0.3124
Co2 Co 0.0000 0.0000 0.8125
Co3 Co 0.0005 0.5002 0.0628
Co4 Co 0.1671 0.3342 0.8955
# ΔE_f	-24.5	kJ/mol of atoms
# raw total energy	-0.47702	Ry/atom
# calculated volume	15.00	Å³/atom
# mass density	10.5	g cm⁻³
# spin magnetization	7.513	μB per formula unit
# DOS at the Fermi energy	14.9	states/eV/f.u.

---

(3)
# Cu3BiPb | Alexandria | PBE-GGA | relaxed
data_Cu3BiPb
_symmetry_space_group_name_H-M 'P m -3 m'
_symmetry_Int_Tables_number 221
_symmetry_space_group_name_Hall '-P 4 2 3'
_cell_length_a 5.028
_cell_length_b 5.028
_cell_length_c 5.028
_cell_angle_alpha 90.00
_cell_angle_beta 90.00
_cell_angle_gamma 90.00
loop_
_atom_site_label
_atom_site_type_symbol
_atom_site_fract_x
_atom_site_fract_y
_atom_site_fract_z
Cu1 Cu 0.000 0.000 0.500
Bi1 Bi 0.000 0.000 0.000
Pb1 Pb 0.500 0.500 0.500
# ΔE_f	70.0	kJ/mol of atoms
# raw total energy	-0.23885	Ry/atom
# calculated volume	25.42	Å³/atom
# energy relative to the lowest polymorph listed for this composition	0.0	kJ/mol of formula units
# mass density	7.9	g cm⁻³
# spin magnetization	0.000	μB per formula unit
# DOS at the Fermi energy	3.5	states/eV/f.u.

---

(4)
# Ta2ZnHg | Alexandria | PBE-GGA | relaxed
data_Ta2ZnHg
_symmetry_space_group_name_H-M 'P 4 m m'
_symmetry_Int_Tables_number 99
_cell_length_a 3.479
_cell_length_b 3.479
_cell_length_c 6.114
_cell_angle_alpha 90.00
_cell_angle_beta 90.00
_cell_angle_gamma 90.00
loop_
_symmetry_equiv_pos_as_xyz
'x,y,z'
'-y,x,z'
'-x,-y,z'
'y,-x,z'
'-x,y,z'
'y,x,z'
'x,-y,z'
'-y,-x,z'
loop_
_atom_site_label
_atom_site_type_symbol
_atom_site_fract_x
_atom_site_fract_y
_atom_site_fract_z
Ta1 Ta 0.000 0.000 0.000
Ta2 Ta 0.500 0.500 0.208
Zn1 Zn 0.000 0.000 0.455
Hg1 Hg 0.500 0.500 0.701
# ΔE_f	23.5	kJ/mol of atoms
# raw total energy	-0.44665	Ry/atom
# calculated volume	18.50	Å³/atom
# energy relative to the lowest polymorph listed for this composition	42.2	kJ/mol of formula units
# mass density	14.1	g cm⁻³
# spin magnetization	0.000	μB per formula unit
# DOS at the Fermi energy	2.7	states/eV/f.u.

---

Question: Among the records above, which one has the highest calculated volume?
Answer: Cu3BiPb

---

Question: Which of these has the lowest raw total energy?
Answer: HoTm3Co8

---

Question: The lowest DOS at the Fermi energy belongs to which entry?
Answer: MoP2Br